Here is an optimized crystal structure of VHg2Cl from Alexandria via LeMat-Bulk. Energies are from GGA-PBE.

a = 5.104 Å, b = 5.104 Å, c = 5.104 Å
α = 60.00°, β = 60.00°, γ = 60.00°
Each line ends with the local moment (μB).
Fractional coordinates of all 4 atoms:
1 Hg 0.750 0.750 0.750  0.01
2 Hg 0.250 0.250 0.250  0.01
3 V 0.500 0.500 0.500  3.05
4 Cl 0.000 0.000 0.000  0.04

Computed properties:
* energy: -2.464 eV per atom
* M_tot: 3.84 μB per formula unit
* symmetry: No. 225
* raw formation energy: 428 meV/atom
* E above lowest polymorph: 400 meV per atom
* theoretical density: 8.6 g cm⁻³